VASP calculation (GGA-PBE) on RbBeI2 after structural relaxation.

Computed properties:
E above lowest polymorph ... 0.000 eV/atom
Crystal system ... tetragonal
Formation energy without anion corrections ... -341 meV per atom
Calculated density ... 3.081 g cm⁻³
SG ... I-42d, No. 122
E ... -9.16 eV/f.u.

Geometry as extended XYZ:
```
8
Lattice="-3.6306 3.6306 7.1200 3.6306 -3.6306 7.1200 3.6306 3.6306 -7.1200" Properties=species:S:1:pos:R:3 pbc="T T T"
Rb 0.0000 0.0000 0.0000
Rb 0.0000 3.6306 3.5600
Be 3.6306 0.0000 3.5600
Be 0.0000 0.0000 7.1200
I 1.8153 -0.9032 5.3400
I 2.7275 1.8153 1.7800
I 1.8153 4.5338 -1.7800
I 0.9032 1.8153 8.9000
```